This record from Alexandria describes a geometry-optimized ZrBeGa3 structure. The functional is GGA-PBE.

Output
Magnetic moment = 0.00 μB/atom
D(E_F) = 4.39 states/eV/cell
Crystal system = cubic
Space-group type = Pm-3m
ΔH_f (0 K) = 1.102 eV per atom
ρ = 3.6 g/cm³

abc: 5.2291 5.2291 5.2291
angles: 90.00 90.00 90.00
Fractional coordinates of all 5 atoms:
Be1 0.5000 0.5000 0.5000
Ga1 0.0000 0.0000 0.5000
Ga2 0.5000 0.0000 0.0000
Ga3 0.0000 0.5000 0.0000
Zr1 0.0000 0.0000 0.0000